# 1
DFT (PBE) results for an optimized crystal structure of NdSm2Al3.

## Properties
polymorph energy (0 for the lowest one)	0.0	meV/atom
energy of formation from the pure elements	-366.5	meV per atom
DOS(E_F)	2.28	states/eV/f.u.
symmetry	P4/mmm (123)

a b c (Å): 3.6887 3.6887 11.1230
angles (deg): 90.00 90.00 90.00
Closest atoms and distances in Å follow each position.
Fractional positions:
Nd  0.5000  0.5000  0.5000  8 Al 3.23
Al  0.0000  0.0000  0.0000  8 Sm 3.19
Sm  0.5000  0.5000  0.8350  8 Al 3.18-3.19
Al  0.0000  0.0000  0.6710  4 Sm 3.18, 4 Nd 3.23
Sm  0.5000  0.5000  0.1650  8 Al 3.18-3.19
Al  0.0000  0.0000  0.3290  4 Sm 3.18, 4 Nd 3.23

---

# 2
DFT (PBE) results for an optimized crystal structure of Th2Se3Cl.

## Properties
raw formation energy	-1.63	eV/atom
symmetry	I4_1/amd (141)

a b c (Å): 9.4424 9.4424 9.7216
angles (deg): 119.05 119.05 90.00
Closest atoms and distances in Å follow each position.
Fractional positions:
Se  0.7071  0.2929  0.0000  4 Th 2.98-3.18, 2 Se 3.31
Th  0.3688  0.6510  0.3020  1 Cl 2.74, 2 Se 2.98
Th  0.3490  0.6312  0.6980  1 Cl 2.74, 2 Se 2.98
Cl  0.9449  0.4449  0.8898  2 Th 2.74
Cl  0.6949  0.6949  0.3898  2 Th 2.74
Se  0.2929  0.2929  0.0000  4 Th 2.98-3.18, 2 Se 3.31
Th  0.9010  0.6832  0.8020  1 Cl 2.74, 2 Se 2.98
Th  0.8812  0.0990  0.1980  1 Cl 2.74, 2 Se 2.98
Se  0.2929  0.7071  0.0000  4 Th 2.98-3.18, 2 Se 3.31
Se  0.9571  0.4571  0.5000  4 Th 2.98-3.18, 2 Se 3.31
Th  0.3168  0.0990  0.1980  1 Cl 2.74, 2 Se 2.98
Se  0.1250  0.8750  0.2500  6 Th 3.15-3.18, 4 Se 3.31, 2 Cl 3.47
Se  0.5429  0.0429  0.5000  4 Th 2.98-3.18, 2 Se 3.31
Se  0.6250  0.8750  0.7500  6 Th 3.15-3.18, 4 Se 3.31, 2 Cl 3.47
Se  0.5429  0.4571  0.5000  4 Th 2.98-3.18, 2 Se 3.31
Th  0.9010  0.1188  0.8020  1 Cl 2.74, 2 Se 2.98
Se  0.9571  0.0429  0.5000  4 Th 2.98-3.18, 2 Se 3.31
Th  0.9332  0.6510  0.3020  1 Cl 2.74, 2 Se 2.98
Se  0.7071  0.7071  0.0000  4 Th 2.98-3.18, 2 Se 3.31
Th  0.3490  0.0668  0.6980  1 Cl 2.74, 2 Se 2.98
Cl  0.5551  0.0551  0.1102  2 Th 2.74
Se  0.1250  0.3750  0.2500  6 Th 3.15-3.18, 4 Se 3.31, 2 Cl 3.47
Cl  0.3051  0.3051  0.6102  2 Th 2.74
Se  0.1250  0.8750  0.7500  6 Th 3.15-3.18, 4 Se 3.31, 2 Cl 3.47

---

# 3
DFT (PBE) results for an optimized crystal structure of Zn3In12Sb5.

## Properties
raw formation energy	0.10	eV/atom
DOS(E_F)	9.00	states/eV/f.u.
symmetry	Ia-3d (230)

a b c (Å): 14.7113 14.7113 14.7113
angles (deg): 109.47 109.47 109.47
Closest atoms and distances in Å follow each position.
Fractional positions:
Zn  0.7500  0.8750  0.6250  4 In 2.75
Zn  0.7500  0.3750  0.1250  4 In 2.75
In  0.0594  0.1710  0.4287  1 Zn 2.75, 2 Sb 2.90-3.02
In  0.6710  0.2423  0.6116  1 Zn 2.75, 2 Sb 2.90-3.02
In  0.8884  0.0594  0.6307  1 Zn 2.75, 2 Sb 2.90-3.02
Sb  0.0000  0.5000  0.0000  6 In 3.02
In  0.6710  0.4287  0.5594  1 Zn 2.75, 2 Sb 2.90-3.02
Sb  0.3750  0.2500  0.1250  4 In 2.90
Zn  0.2500  0.6250  0.8750  4 In 2.75
Sb  0.5000  0.0000  0.0000  6 In 3.02
In  0.7577  0.3290  0.8884  1 Zn 2.75, 2 Sb 2.90-3.02
Sb  0.0000  0.0000  0.0000  6 In 3.02
Sb  0.8750  0.6250  0.7500  4 In 2.90
In  0.9287  0.3693  0.2577  1 Zn 2.75, 2 Sb 2.90-3.02
Zn  0.1250  0.2500  0.8750  4 In 2.75
Zn  0.6250  0.3750  0.7500  4 In 2.75
Sb  0.0000  0.5000  0.5000  6 In 3.02
Sb  0.2500  0.3750  0.6250  4 In 2.90
Zn  0.2500  0.1250  0.3750  4 In 2.75
Sb  0.1250  0.7500  0.3750  4 In 2.90
In  0.5713  0.2423  0.1307  1 Zn 2.75, 2 Sb 2.90-3.02
In  0.7423  0.1307  0.0713  1 Zn 2.75, 2 Sb 2.90-3.02
Zn  0.1250  0.8750  0.7500  4 In 2.75
Sb  0.2500  0.8750  0.1250  4 In 2.90
In  0.5594  0.6307  0.3884  1 Zn 2.75, 2 Sb 2.90-3.02
In  0.1116  0.9406  0.3693  1 Zn 2.75, 2 Sb 2.90-3.02
In  0.4406  0.0713  0.3290  1 Zn 2.75, 2 Sb 2.90-3.02
In  0.3693  0.9287  0.7577  1 Zn 2.75, 2 Sb 2.90-3.02
In  0.4287  0.6710  0.0594  1 Zn 2.75, 2 Sb 2.90-3.02
In  0.2577  0.8693  0.9287  1 Zn 2.75, 2 Sb 2.90-3.02
Zn  0.6250  0.2500  0.3750  4 In 2.75
In  0.1116  0.1710  0.2423  1 Zn 2.75, 2 Sb 2.90-3.02
In  0.8884  0.8290  0.7577  1 Zn 2.75, 2 Sb 2.90-3.02
In  0.8693  0.6116  0.9406  1 Zn 2.75, 2 Sb 2.90-3.02
In  0.7577  0.4287  0.3693  1 Zn 2.75, 2 Sb 2.90-3.02
Sb  0.1250  0.3750  0.2500  4 In 2.90
In  0.6307  0.0713  0.2423  1 Zn 2.75, 2 Sb 2.90-3.02
In  0.8290  0.9406  0.0713  1 Zn 2.75, 2 Sb 2.90-3.02
Zn  0.3750  0.6250  0.2500  4 In 2.75
In  0.8290  0.8884  0.2577  1 Zn 2.75, 2 Sb 2.90-3.02
Sb  0.5000  0.5000  0.5000  6 In 3.02
In  0.5713  0.3290  0.9406  1 Zn 2.75, 2 Sb 2.90-3.02
Sb  0.7500  0.1250  0.8750  4 In 2.90
In  0.1307  0.7423  0.5713  1 Zn 2.75, 2 Sb 2.90-3.02
In  0.0594  0.8884  0.1307  1 Zn 2.75, 2 Sb 2.90-3.02
In  0.1710  0.0594  0.9287  1 Zn 2.75, 2 Sb 2.90-3.02
In  0.2423  0.5713  0.6307  1 Zn 2.75, 2 Sb 2.90-3.02
In  0.3693  0.4406  0.1116  1 Zn 2.75, 2 Sb 2.90-3.02
Sb  0.5000  0.0000  0.5000  6 In 3.02
In  0.3290  0.5713  0.4406  1 Zn 2.75, 2 Sb 2.90-3.02
Sb  0.8750  0.2500  0.6250  4 In 2.90
Sb  0.7500  0.6250  0.3750  4 In 2.90
In  0.2423  0.6710  0.1116  1 Zn 2.75, 2 Sb 2.90-3.02
In  0.3884  0.2577  0.3290  1 Zn 2.75, 2 Sb 2.90-3.02
In  0.0713  0.4406  0.8290  1 Zn 2.75, 2 Sb 2.90-3.02
In  0.4287  0.7577  0.8693  1 Zn 2.75, 2 Sb 2.90-3.02
Zn  0.8750  0.1250  0.2500  4 In 2.75
In  0.1710  0.1116  0.7423  1 Zn 2.75, 2 Sb 2.90-3.02
Sb  0.5000  0.5000  0.0000  6 In 3.02
In  0.8693  0.2577  0.4287  1 Zn 2.75, 2 Sb 2.90-3.02
In  0.4406  0.3693  0.6116  1 Zn 2.75, 2 Sb 2.90-3.02
Sb  0.6250  0.7500  0.8750  4 In 2.90
In  0.6307  0.5594  0.8884  1 Zn 2.75, 2 Sb 2.90-3.02
In  0.3884  0.1307  0.5594  1 Zn 2.75, 2 Sb 2.90-3.02
In  0.9406  0.1116  0.8693  1 Zn 2.75, 2 Sb 2.90-3.02
In  0.9406  0.8290  0.5713  1 Zn 2.75, 2 Sb 2.90-3.02
Sb  0.6250  0.8750  0.2500  4 In 2.90
Zn  0.8750  0.7500  0.1250  4 In 2.75
In  0.5594  0.9287  0.6710  1 Zn 2.75, 2 Sb 2.90-3.02
Sb  0.0000  0.0000  0.5000  6 In 3.02
In  0.6116  0.8693  0.4406  1 Zn 2.75, 2 Sb 2.90-3.02
In  0.7423  0.6116  0.1710  1 Zn 2.75, 2 Sb 2.90-3.02
Zn  0.3750  0.7500  0.6250  4 In 2.75
Sb  0.3750  0.1250  0.7500  4 In 2.90
In  0.9287  0.5594  0.1710  1 Zn 2.75, 2 Sb 2.90-3.02
In  0.3290  0.7577  0.3884  1 Zn 2.75, 2 Sb 2.90-3.02
In  0.0713  0.6307  0.7423  1 Zn 2.75, 2 Sb 2.90-3.02
In  0.1307  0.3884  0.0594  1 Zn 2.75, 2 Sb 2.90-3.02
In  0.6116  0.7423  0.6710  1 Zn 2.75, 2 Sb 2.90-3.02
In  0.2577  0.3884  0.8290  1 Zn 2.75, 2 Sb 2.90-3.02

---

Please write out number 1 again, unchanged.
DFT (PBE) results for an optimized crystal structure of NdSm2Al3.

## Properties
polymorph energy (0 for the lowest one)	0.0	meV/atom
energy of formation from the pure elements	-366.5	meV per atom
DOS(E_F)	2.28	states/eV/f.u.
symmetry	P4/mmm (123)

a b c (Å): 3.6887 3.6887 11.1230
angles (deg): 90.00 90.00 90.00
Closest atoms and distances in Å follow each position.
Fractional positions:
Nd  0.5000  0.5000  0.5000  8 Al 3.23
Al  0.0000  0.0000  0.0000  8 Sm 3.19
Sm  0.5000  0.5000  0.8350  8 Al 3.18-3.19
Al  0.0000  0.0000  0.6710  4 Sm 3.18, 4 Nd 3.23
Sm  0.5000  0.5000  0.1650  8 Al 3.18-3.19
Al  0.0000  0.0000  0.3290  4 Sm 3.18, 4 Nd 3.23